## TlIrAu (GGA-PBE)

Data for crystalline TlIrAu at its relaxed geometry.

```
3
Lattice="-3.521 2.324 -1.730 -0.491 -2.317 3.896 0.876 2.529 1.614" Properties=species:S:1:pos:R:3 pbc="T T T"
Au 0.869 2.508 1.601
Ir -1.190 0.127 2.594
Tl -1.939 2.429 1.200
```

Calculated values
crystal system: trigonal
ΔH_f (0 K): 519 meV per atom

## Tl4HgAs (GGA-PBE)

Data for crystalline Tl4HgAs at its relaxed geometry.

```
6
Lattice="0.000 4.544 4.544 4.544 0.000 4.544 4.544 4.544 0.000" Properties=species:S:1:pos:R:3 pbc="T T T"
Tl 3.413 5.675 5.675
Tl 5.675 5.675 3.413
Tl 5.675 3.413 5.675
Tl 3.413 3.413 3.413
Hg 0.000 0.000 0.000
As 6.816 6.816 6.816
```

Calculated values
crystal system: cubic
ΔH_f (0 K): 277 meV per atom

## Ho3TiAg3Se8 (GGA-PBE)

Data for crystalline Ho3TiAg3Se8 at its relaxed geometry.

```
15
Lattice="-3.486 4.702 -5.570 -3.195 -7.207 1.777 -0.444 6.090 5.418" Properties=species:S:1:pos:R:3 pbc="T T T"
Ho -1.965 5.396 -0.076
Ho -3.562 1.792 0.812
Ho -1.820 -0.559 3.597
Ti -0.222 3.045 2.709
Ag 0.000 0.000 0.000
Ag -1.598 -3.603 0.888
Ag -3.341 -1.252 -1.897
Se -2.589 -0.891 0.868
Se -4.536 4.476 0.756
Se -4.532 1.393 -1.848
Se -2.593 2.192 3.472
Se -2.812 5.271 -2.805
Se -4.313 -1.687 4.429
Se -0.936 2.741 0.193
Se -6.189 0.844 1.431
```

Calculated values
crystal system: monoclinic
raw formation energy: -1.116 eV/atom

## LiCa2PtO (GGA-PBE)

Data for crystalline LiCa2PtO at its relaxed geometry.

```
5
Lattice="5.749 0.000 0.000 0.000 3.959 0.000 0.000 0.000 5.749" Properties=species:S:1:pos:R:3 pbc="T T T"
Ca 0.000 0.000 2.874
Ca 2.874 0.000 0.000
O 0.000 1.980 0.000
Pt 0.000 0.000 0.000
Li 2.874 1.980 2.874
```

Calculated values
crystal system: tetragonal
raw formation energy: -0.351 eV/atom

In eV for the cell shown, the E values for the records above are, in order, -12.9; -12.8; -74.8; -18.7.
In μB per atom, the M_tot values for the records above are, in order, 0.000; 0.000; 0.004; 0.000.